An optimized crystal structure of Na6TiMnSi6O18. Source: the Alexandria database, functional PBE+U.

Unit cell a=10.2447 b=10.2447 c=13.0728 alpha=90.00 beta=90.00 gamma=120.00
Space group R3m (No. 160, hexagonal axes)
Inequivalent atoms, fractional coordinates:
Na: 0.0555 0.5278 0.0000
Na: 0.1773 0.3546 0.8473
Ti: 0.0000 0.0000 0.0255
Mn: 0.0000 0.0000 0.7690
Si: 0.0285 0.5143 0.2544
Si: 0.1815 0.3630 0.1132
O: 0.0740 0.4061 0.1855
O: 0.0892 0.1784 0.1085
O: 0.1077 0.2153 0.6954
O: 0.1771 0.0885 0.9233
O: 0.2219 0.1109 0.3397

Values from the calculation:
* spin magnetization: 14.724 μB per cell
* E_tot: -0.5160 Ry per atom